#i
Here is a relaxed structure of CeGd2Dy from Alexandria. Energies are from PBE-GGA.

Summary:
Total magnetic moment, Bohr magnetons per cell: 13.828
Space group: P4/mmm, No. 123

Cell: 5.001 5.001 5.042 Å, 90.00 90.00 90.00°
Atoms (fractional coordinates):
Ce 0.000 0.000 0.000
Gd 0.000 0.500 0.500
Gd 0.500 0.000 0.500
Dy 0.500 0.500 0.000



#ii
Here is a relaxed structure of CeGd2Dy from Alexandria. Energies are from PBE-GGA.

Summary:
Total magnetic moment, Bohr magnetons per cell: 17.402
Space group: Fm-3m, No. 225

Cell: 5.681 5.681 5.681 Å, 60.00 60.00 60.00°
Atoms (fractional coordinates):
Ce 0.000 0.000 0.000
Gd 0.250 0.250 0.250
Gd 0.750 0.750 0.750
Dy 0.500 0.500 0.500



Referenced to the most stable arrangement, the calculated values in meV per atom are #i 0; #ii 73.



#i
Here is a relaxed structure of Ce2DyGe2 from Alexandria. Energies are from PBE-GGA.

Summary:
Total magnetic moment, Bohr magnetons per cell: 1.069
Space group: P2_1/m, No. 11

Cell: 5.825 4.842 9.403 Å, 90.00 105.07 90.00°
Atoms (fractional coordinates):
Ce 0.130 0.250 0.018
Ce 0.231 0.750 0.368
Ce 0.769 0.250 0.632
Ce 0.870 0.750 0.982
Dy 0.276 0.750 0.750
Dy 0.724 0.250 0.250
Ge 0.233 0.250 0.542
Ge 0.421 0.750 0.104
Ge 0.579 0.250 0.896
Ge 0.767 0.750 0.458



#ii
Here is a relaxed structure of Ce2DyGe2 from Alexandria. Energies are from PBE-GGA.

Summary:
Total magnetic moment, Bohr magnetons per cell: 2.528
Space group: P4/mbm, No. 127

Cell: 7.955 7.955 4.039 Å, 90.00 90.00 90.00°
Atoms (fractional coordinates):
Ce 0.128 0.372 0.000
Ce 0.372 0.872 0.000
Ce 0.628 0.128 0.000
Ce 0.872 0.628 0.000
Dy 0.000 0.000 0.500
Dy 0.500 0.500 0.500
Ge 0.167 0.667 0.500
Ge 0.333 0.167 0.500
Ge 0.667 0.833 0.500
Ge 0.833 0.333 0.500



Referenced to the most stable arrangement, the calculated values in meV per atom are #i 217; #ii 0.



#i
Here is a relaxed structure of CeDy2Ge from Alexandria. Energies are from PBE-GGA.

Summary:
Total magnetic moment, Bohr magnetons per cell: 1.134
Space group: R-3m, No. 166

Cell: 10.218 10.218 10.218 Å, 20.24 20.24 20.24°
Atoms (fractional coordinates):
Ce 0.000 0.000 0.000
Dy 0.236 0.236 0.236
Dy 0.764 0.764 0.764
Ge 0.500 0.500 0.500



#ii
Here is a relaxed structure of CeDy2Ge from Alexandria. Energies are from PBE-GGA.

Summary:
Total magnetic moment, Bohr magnetons per cell: 0.001
Space group: P4/mmm, No. 123

Cell: 4.723 4.723 4.481 Å, 90.00 90.00 90.00°
Atoms (fractional coordinates):
Ce 0.000 0.000 0.000
Dy 0.000 0.500 0.500
Dy 0.500 0.000 0.500
Ge 0.500 0.500 0.000



Referenced to the most stable arrangement, the calculated values in meV per atom are #i 152; #ii 0.



#i
Here is a relaxed structure of Ce2DyGe from Alexandria. Energies are from PBE-GGA.

Summary:
Total magnetic moment, Bohr magnetons per cell: 0.541
Space group: P4/mmm, No. 123

Cell: 4.391 4.391 5.040 Å, 90.00 90.00 90.00°
Atoms (fractional coordinates):
Ce 0.000 0.500 0.000
Ce 0.500 0.000 0.000
Dy 0.000 0.000 0.500
Ge 0.500 0.500 0.500



#ii
Here is a relaxed structure of Ce2DyGe from Alexandria. Energies are from PBE-GGA.

Summary:
Total magnetic moment, Bohr magnetons per cell: 0.540
Space group: R-3m, No. 166

Cell: 9.877 9.877 9.877 Å, 21.96 21.96 21.96°
Atoms (fractional coordinates):
Ce 0.234 0.234 0.234
Ce 0.766 0.766 0.766
Dy 0.000 0.000 0.000
Ge 0.500 0.500 0.500



Referenced to the most stable arrangement, the calculated values in meV per atom are #i 0; #ii 277.



#i
Here is a relaxed structure of Ce2DyGe from Alexandria. Energies are from PBE-GGA.

Summary:
Total magnetic moment, Bohr magnetons per cell: 0.000
Space group: P2_1/m, No. 11

Cell: 4.296 4.258 11.152 Å, 90.00 100.63 90.00°
Atoms (fractional coordinates):
Ce 0.017 0.250 0.126
Ce 0.400 0.250 0.878
Ce 0.600 0.750 0.122
Ce 0.983 0.750 0.874
Dy 0.303 0.750 0.605
Dy 0.697 0.250 0.395
Ge 0.177 0.750 0.334
Ge 0.823 0.250 0.666



#ii
Here is a relaxed structure of Ce2DyGe from Alexandria. Energies are from PBE-GGA.

Summary:
Total magnetic moment, Bohr magnetons per cell: 1.549
Space group: P4/mmm, No. 123

Cell: 3.988 3.988 6.832 Å, 90.00 90.00 90.00°
Atoms (fractional coordinates):
Ce 0.000 0.000 0.197
Ce 0.000 0.000 0.803
Dy 0.500 0.500 0.500
Ge 0.500 0.500 0.000



Referenced to the most stable arrangement, the calculated values in meV per atom are #i 0; #ii 138.



#i
Here is a relaxed structure of CeDyH2 from Alexandria. Energies are from PBE-GGA.

Summary:
Total magnetic moment, Bohr magnetons per cell: 0.819
Space group: R-3m, No. 166

Cell: 6.172 6.172 6.172 Å, 32.77 32.77 32.77°
Atoms (fractional coordinates):
Ce 0.000 0.000 0.000
Dy 0.500 0.500 0.500
H 0.246 0.246 0.246
H 0.754 0.754 0.754



#ii
Here is a relaxed structure of CeDyH2 from Alexandria. Energies are from PBE-GGA.

Summary:
Total magnetic moment, Bohr magnetons per cell: 0.870
Space group: R3m, No. 160

Cell: 6.394 6.394 6.394 Å, 30.93 30.93 30.93°
Atoms (fractional coordinates):
Ce 0.000 0.000 0.000
Dy 0.825 0.825 0.825
H 0.234 0.234 0.234
H 0.418 0.418 0.418



Referenced to the most stable arrangement, the calculated values in meV per atom are #i 0; #ii 79.



#i
Here is a relaxed structure of CeDyHf2 from Alexandria. Energies are from PBE-GGA.

Summary:
Total magnetic moment, Bohr magnetons per cell: 0.000
Space group: P4/mmm, No. 123

Cell: 4.645 4.645 4.759 Å, 90.00 90.00 90.00°
Atoms (fractional coordinates):
Ce 0.000 0.000 0.000
Dy 0.500 0.500 0.000
Hf 0.000 0.500 0.500
Hf 0.500 0.000 0.500



#ii
Here is a relaxed structure of CeDyHf2 from Alexandria. Energies are from PBE-GGA.

Summary:
Total magnetic moment, Bohr magnetons per cell: 0.000
Space group: R-3m, No. 166

Cell: 5.413 5.413 5.413 Å, 56.89 56.89 56.89°
Atoms (fractional coordinates):
Ce 0.000 0.000 0.000
Dy 0.500 0.500 0.500
Hf 0.273 0.273 0.273
Hf 0.727 0.727 0.727



#iii
Here is a relaxed structure of CeDyHf2 from Alexandria. Energies are from PBE-GGA.

Summary:
Total magnetic moment, Bohr magnetons per cell: 0.000
Space group: P4/mmm, No. 123

Cell: 3.865 3.865 6.894 Å, 90.00 90.00 90.00°
Atoms (fractional coordinates):
Ce 0.000 0.000 0.000
Dy 0.000 0.000 0.500
Hf 0.500 0.500 0.217
Hf 0.500 0.500 0.783



Referenced to the most stable arrangement, the calculated values in meV per atom are #i 0; #ii 96; #iii 46.



#i
Here is a relaxed structure of Ce2DyHf from Alexandria. Energies are from PBE-GGA.

Summary:
Total magnetic moment, Bohr magnetons per cell: 0.484
Space group: R-3m, No. 166

Cell: 11.349 11.349 11.349 Å, 16.95 16.95 16.95°
Atoms (fractional coordinates):
Ce 0.246 0.246 0.246
Ce 0.754 0.754 0.754
Dy 0.000 0.000 0.000
Hf 0.500 0.500 0.500



#ii
Here is a relaxed structure of Ce2DyHf from Alexandria. Energies are from PBE-GGA.

Summary:
Total magnetic moment, Bohr magnetons per cell: 0.074
Space group: P4/mmm, No. 123

Cell: 4.704 4.704 4.914 Å, 90.00 90.00 90.00°
Atoms (fractional coordinates):
Ce 0.000 0.500 0.000
Ce 0.500 0.000 0.000
Dy 0.000 0.000 0.500
Hf 0.500 0.500 0.500



#iii
Here is a relaxed structure of Ce2DyHf from Alexandria. Energies are from PBE-GGA.

Summary:
Total magnetic moment, Bohr magnetons per cell: 0.083
Space group: P4/mmm, No. 123

Cell: 3.296 3.296 10.050 Å, 90.00 90.00 90.00°
Atoms (fractional coordinates):
Ce 0.000 0.000 0.235
Ce 0.000 0.000 0.765
Dy 0.500 0.500 0.500
Hf 0.500 0.500 0.000



Referenced to the most stable arrangement, the calculated values in meV per atom are #i 15; #ii 34; #iii 0.



#i
Here is a relaxed structure of Ce2DyHg4 from Alexandria. Energies are from PBE-GGA.

Summary:
Total magnetic moment, Bohr magnetons per cell: 2.336
Space group: R-3m, No. 166

Cell: 9.349 9.349 9.349 Å, 32.34 32.34 32.34°
Atoms (fractional coordinates):
Ce 0.245 0.245 0.245
Ce 0.755 0.755 0.755
Dy 0.000 0.000 0.000
Hg 0.126 0.126 0.126
Hg 0.372 0.372 0.372
Hg 0.628 0.628 0.628
Hg 0.874 0.874 0.874



#ii
Here is a relaxed structure of Ce2DyHg4 from Alexandria. Energies are from PBE-GGA.

Summary:
Total magnetic moment, Bohr magnetons per cell: 1.191
Space group: Cmmm, No. 65

Cell: 11.104 11.104 5.475 Å, 90.00 90.00 162.45°
Atoms (fractional coordinates):
Ce 0.061 0.939 0.000
Ce 0.939 0.061 0.000
Dy 0.500 0.500 0.500
Hg 0.306 0.694 0.000
Hg 0.365 0.635 0.500
Hg 0.635 0.365 0.500
Hg 0.694 0.306 0.000



Referenced to the most stable arrangement, the calculated values in meV per atom are #i 0; #ii 181.



#i
Here is a relaxed structure of CeDy2Hg4 from Alexandria. Energies are from PBE-GGA.

Summary:
Total magnetic moment, Bohr magnetons per cell: 1.231
Space group: P4/mmm, No. 123

Cell: 5.248 5.248 7.225 Å, 90.00 90.00 90.00°
Atoms (fractional coordinates):
Ce 0.000 0.000 0.000
Dy 0.000 0.000 0.500
Dy 0.500 0.500 0.000
Hg 0.000 0.500 0.268
Hg 0.000 0.500 0.732
Hg 0.500 0.000 0.268
Hg 0.500 0.000 0.732



#ii
Here is a relaxed structure of CeDy2Hg4 from Alexandria. Energies are from PBE-GGA.

Summary:
Total magnetic moment, Bohr magnetons per cell: 1.272
Space group: R-3m, No. 166

Cell: 9.414 9.414 9.414 Å, 30.57 30.57 30.57°
Atoms (fractional coordinates):
Ce 0.000 0.000 0.000
Dy 0.124 0.124 0.124
Dy 0.876 0.876 0.876
Hg 0.247 0.247 0.247
Hg 0.395 0.395 0.395
Hg 0.605 0.605 0.605
Hg 0.753 0.753 0.753



Referenced to the most stable arrangement, the calculated values in meV per atom are #i 0; #ii 12.



#i
Here is a relaxed structure of Ce2Dy3Ho8 from Alexandria. Energies are from PBE-GGA.

Summary:
Total magnetic moment, Bohr magnetons per cell: 4.549
Space group: C2/c, No. 15

Cell: 8.924 8.924 12.089 Å, 112.03 112.03 83.34°
Atoms (fractional coordinates):
Ce 0.120 0.801 0.950
Ce 0.199 0.880 0.550
Ce 0.801 0.120 0.450
Ce 0.880 0.199 0.050
Dy 0.047 0.953 0.250
Dy 0.373 0.627 0.750
Dy 0.500 0.500 0.000
Dy 0.500 0.500 0.500
Dy 0.627 0.373 0.250
Dy 0.953 0.047 0.750
Ho 0.061 0.370 0.392
Ho 0.149 0.405 0.962
Ho 0.177 0.281 0.670
Ho 0.201 0.580 0.273
Ho 0.281 0.177 0.170
Ho 0.370 0.061 0.892
Ho 0.405 0.149 0.462
Ho 0.420 0.799 0.227
Ho 0.580 0.201 0.773
Ho 0.595 0.851 0.538
Ho 0.630 0.939 0.108
Ho 0.719 0.823 0.830
Ho 0.799 0.420 0.727
Ho 0.823 0.719 0.330
Ho 0.851 0.595 0.038
Ho 0.939 0.630 0.608



#ii
Here is a relaxed structure of Ce2Dy3Ho8 from Alexandria. Energies are from PBE-GGA.

Summary:
Total magnetic moment, Bohr magnetons per cell: 3.000
Space group: Cmmm, No. 65

Cell: 10.862 10.862 5.589 Å, 90.00 90.00 140.07°
Atoms (fractional coordinates):
Ce 0.244 0.756 0.000
Ce 0.756 0.244 0.000
Dy 0.000 0.000 0.000
Dy 0.279 0.279 0.500
Dy 0.721 0.721 0.500
Ho 0.137 0.863 0.500
Ho 0.177 0.394 0.000
Ho 0.332 0.668 0.500
Ho 0.394 0.177 0.000
Ho 0.606 0.823 0.000
Ho 0.668 0.332 0.500
Ho 0.823 0.606 0.000
Ho 0.863 0.137 0.500



Referenced to the most stable arrangement, the calculated values in meV per atom are #i 0; #ii 99.



#i
Here is a relaxed structure of CeDy2Ho from Alexandria. Energies are from PBE-GGA.

Summary:
Total magnetic moment, Bohr magnetons per cell: 0.783
Space group: R3m, No. 160

Cell: 11.680 11.680 11.680 Å, 17.35 17.35 17.35°
Atoms (fractional coordinates):
Ce 0.000 0.000 0.000
Dy 0.250 0.250 0.250
Dy 0.418 0.418 0.418
Ho 0.834 0.834 0.834



#ii
Here is a relaxed structure of CeDy2Ho from Alexandria. Energies are from PBE-GGA.

Summary:
Total magnetic moment, Bohr magnetons per cell: 1.700
Space group: Fm-3m, No. 225

Cell: 5.646 5.646 5.646 Å, 60.00 60.00 60.00°
Atoms (fractional coordinates):
Ce 0.000 0.000 0.000
Dy 0.250 0.250 0.250
Dy 0.750 0.750 0.750
Ho 0.500 0.500 0.500



Referenced to the most stable arrangement, the calculated values in meV per atom are #i 0; #ii 127.